Entry from the Alexandria database: a geometry-optimized Ba2Na2Tc structure (PBE).

Geometry as POSCAR:
```
Ba2Na2Tc
1.0
8.2248 0.0000 0.0000
0.0000 8.2248 0.0000
0.0000 0.0000 5.5427
Ba Na Tc
4 4 2
Cartesian
1.5819 2.5305 0.0000
2.5305 6.6429 0.0000
5.6944 1.5819 0.0000
6.6429 5.6944 0.0000
1.0839 5.1963 2.7714
3.0285 1.0839 2.7714
5.1963 7.1410 2.7714
7.1410 3.0285 2.7714
0.0000 0.0000 2.7714
4.1124 4.1124 2.7714
```

Results
ΔE to the lowest computed polymorph: 0.0 meV per atom
D(E_F): 17.13 states/eV/cell
Space-group type: P4/mbm, No. 127